AlCd2TcS after structural relaxation. Source: Alexandria via LeMat-Bulk, functional GGA-PBEsol.

Geometry as POSCAR:
```
AlCd2TcS
1.0
4.290 0.000 0.000
0.000 5.256 0.000
0.000 0.000 5.256
Tc Cd Al S
1 2 1 1
Cartesian
0.000 0.000 0.000
0.000 0.000 2.628
0.000 2.628 0.000
2.145 2.628 2.628
2.145 0.000 0.000
```

Summary:
Symmetry: P4/mmm
N(E_F) (states/eV/cell): 1.87
Formation energy (no corrections) (eV/atom): 0.443